## SmMnO2 (PBE+U)

Data for a geometry-optimized SmMnO2 structure.

Cell: 3.701 3.701 6.279 Å, 72.86 72.86 60.00°
Fractional positions:
1 Sm 0.500 0.500 0.500
2 O 0.892 0.892 0.325
3 Mn 0.000 0.000 0.000
4 O 0.108 0.108 0.675

Computed properties:
As for the total energy: -0.579 Ry per atom. Its total magnetization is 4.00 Bohr magnetons per cell. The volume comes out at 17.51 Å³ per atom. Its space group is R-3m (166). As for the theoretical density: 5.63 g/cm³.